(1)
Computed, not measured: a geometry-optimized La2PrCd2Si4Pd2 structure at the PBE level of DFT.

Structure (POSCAR):
```
La2PrCd2Si4Pd2
1.0
-2.137 2.158 13.050
2.137 -2.158 13.050
2.137 2.158 -13.050
La Pr Cd Si Pd
2 1 2 4 2
direct
0.140 0.140 0.000
0.860 0.860 0.000
0.500 0.000 0.500
0.250 0.750 0.500
0.750 0.250 0.500
0.046 0.546 0.500
0.317 0.317 0.000
0.683 0.683 0.000
0.954 0.454 0.500
0.409 0.409 0.000
0.591 0.591 0.000
```

Computed properties:
DFT total energy (eV per atom): -5.129
Space group: Immm, No. 71

=====

(2)
Computed, not measured: a geometry-optimized SrCuIrSe3 structure at the PBE level of DFT.

Structure (POSCAR):
```
SrCuIrSe3
1.0
2.016 -6.333 0.000
2.016 6.333 0.000
0.000 0.000 9.778
Sr Cu Ir Se
2 2 2 6
direct
0.232 0.768 0.750
0.768 0.232 0.250
0.471 0.529 0.250
0.529 0.471 0.750
0.000 0.000 0.000
0.000 0.000 0.500
0.076 0.924 0.250
0.374 0.626 0.034
0.374 0.626 0.466
0.626 0.374 0.534
0.626 0.374 0.966
0.924 0.076 0.750
```

Computed properties:
DFT total energy (eV per atom): -4.795
Space group: Cmcm, No. 63

=====

(3)
Computed, not measured: a geometry-optimized SmTaCd structure at the PBE level of DFT.

Structure (POSCAR):
```
SmTaCd
1.0
0.000 3.504 3.504
3.504 0.000 3.504
3.504 3.504 0.000
Sm Ta Cd
1 1 1
direct
0.000 0.000 0.000
0.250 0.250 0.250
0.750 0.750 0.750
```

Computed properties:
Formation enthalpy at 0 K (eV/atom): 1.306
Space group: F-43m, No. 216

=====

Number 1: density 6.68 Mg/m³. Number 2: density 7.72 Mg/m³. Number 3: density 8.56 Mg/m³.